[1]
## SrAg4As2 (GGA-PBE)

Data for an optimized crystal structure of SrAg4As2.

The structure in CIF format:
```
data_SrAg4As2
_chemical_formula_sum 'Sr2 Ag8 As4'
_cell_length_a 8.261
_cell_length_b 8.261
_cell_length_c 4.336
_cell_angle_alpha 90.00
_cell_angle_beta 90.00
_cell_angle_gamma 90.00
_symmetry_space_group_name_H-M 'P 42/m n m'
_symmetry_Int_Tables_number 136
_symmetry_space_group_name_Hall '-P 4n 2n'
loop_
_atom_site_label
_atom_site_type_symbol
_atom_site_fract_x
_atom_site_fract_y
_atom_site_fract_z
_atom_site_occupancy
Sr1 Sr 0.000 0.000 0.000 1
Ag1 Ag 0.086 0.339 0.500 1
As1 As 0.217 0.783 0.500 1
```

Values from the calculation:
ΔH_f (0 K)	-0.334	eV/atom
electronic total energy	-3.53	eV per atom



[2]
## SrAgAs (GGA-PBE)

Data for an optimized crystal structure of SrAgAs.

The structure in CIF format:
```
data_SrAgAs
_chemical_formula_sum 'Sr2 Ag2 As2'
_cell_length_a 5.5533
_cell_length_b 5.5533
_cell_length_c 12.3494
_cell_angle_alpha 90.00
_cell_angle_beta 90.00
_cell_angle_gamma 120.00
_symmetry_space_group_name_H-M 'P 63/m m c'
_symmetry_Int_Tables_number 194
_symmetry_space_group_name_Hall '-P 6c 2c'
loop_
_atom_site_label
_atom_site_type_symbol
_atom_site_fract_x
_atom_site_fract_y
_atom_site_fract_z
_atom_site_occupancy
Sr1 Sr 0.0000 0.0000 0.2500 1
Ag1 Ag 0.3333 0.6667 0.2500 1
As1 As 0.0000 0.0000 0.0000 1
```

Values from the calculation:
ΔH_f (0 K)	0.654	eV/atom
electronic total energy	-2.41	eV per atom



[3]
## SrAg2As (GGA-PBE)

Data for an optimized crystal structure of SrAg2As.

The structure in CIF format:
```
data_SrAg2As
_chemical_formula_sum 'Sr2 Ag4 As2'
_cell_length_a 5.007
_cell_length_b 5.007
_cell_length_c 7.345
_cell_angle_alpha 90.00
_cell_angle_beta 90.00
_cell_angle_gamma 90.00
_symmetry_space_group_name_H-M 'I -4 m 2'
_symmetry_Int_Tables_number 119
_symmetry_space_group_name_Hall 'I -4 -2'
loop_
_atom_site_label
_atom_site_type_symbol
_atom_site_fract_x
_atom_site_fract_y
_atom_site_fract_z
_atom_site_occupancy
Sr1 Sr 0.000 0.000 0.000 1
Ag1 Ag 0.000 0.000 0.500 1
Ag2 Ag 0.000 0.500 0.750 1
As1 As 0.000 0.500 0.250 1
```

Values from the calculation:
ΔH_f (0 K)	-0.254	eV/atom
electronic total energy	-3.26	eV per atom



[4]
## Sr3Ag2As3 (GGA-PBE)

Data for an optimized crystal structure of Sr3Ag2As3.

The structure in CIF format:
```
data_Sr3Ag2As3
_chemical_formula_sum 'Sr12 Ag8 As12'
_cell_length_a 4.541
_cell_length_b 11.888
_cell_length_c 15.446
_cell_angle_alpha 90.00
_cell_angle_beta 90.00
_cell_angle_gamma 90.00
_symmetry_space_group_name_H-M 'C m c m'
_symmetry_Int_Tables_number 63
_symmetry_space_group_name_Hall '-C 2c 2'
loop_
_atom_site_label
_atom_site_type_symbol
_atom_site_fract_x
_atom_site_fract_y
_atom_site_fract_z
_atom_site_occupancy
Sr1 Sr 0.000 0.081 0.104 1
Sr2 Sr 0.000 0.351 0.250 1
Ag1 Ag 0.000 0.222 0.597 1
As1 As 0.000 0.346 0.750 1
As2 As 0.000 0.379 0.047 1
```

Values from the calculation:
ΔH_f (0 K)	-0.761	eV/atom
electronic total energy	-3.85	eV per atom



[5]
## SrAgAs2 (GGA-PBE)

Data for an optimized crystal structure of SrAgAs2.

The structure in CIF format:
```
data_SrAgAs2
_chemical_formula_sum 'Sr2 Ag2 As4'
_cell_length_a 7.208
_cell_length_b 7.859
_cell_length_c 3.268
_cell_angle_alpha 90.00
_cell_angle_beta 90.00
_cell_angle_gamma 90.00
_symmetry_space_group_name_H-M 'C m m m'
_symmetry_Int_Tables_number 65
_symmetry_space_group_name_Hall '-C 2 2'
loop_
_atom_site_label
_atom_site_type_symbol
_atom_site_fract_x
_atom_site_fract_y
_atom_site_fract_z
_atom_site_occupancy
Sr1 Sr 0.000 0.000 0.000 1
Ag1 Ag 0.000 0.500 0.000 1
As1 As 0.250 0.250 0.500 1
```

Values from the calculation:
ΔH_f (0 K)	-0.246	eV/atom
electronic total energy	-3.70	eV per atom



[6]
## SrAg2As2 (GGA-PBE)

Data for an optimized crystal structure of SrAg2As2.

The structure in CIF format:
```
data_SrAg2As2
_chemical_formula_sum 'Sr2 Ag4 As4'
_cell_length_a 4.403
_cell_length_b 4.403
_cell_length_c 11.735
_cell_angle_alpha 90.00
_cell_angle_beta 90.00
_cell_angle_gamma 90.00
_symmetry_space_group_name_H-M 'I 4/m m m'
_symmetry_Int_Tables_number 139
_symmetry_space_group_name_Hall '-I 4 2'
loop_
_atom_site_label
_atom_site_type_symbol
_atom_site_fract_x
_atom_site_fract_y
_atom_site_fract_z
_atom_site_occupancy
Sr1 Sr 0.000 0.000 0.000 1
Ag1 Ag 0.000 0.500 0.250 1
As1 As 0.000 0.000 0.389 1
```

Values from the calculation:
ΔH_f (0 K)	-0.457	eV/atom
electronic total energy	-3.79	eV per atom



[7]
## SrAgAs2 (GGA-PBE)

Data for an optimized crystal structure of SrAgAs2.

The structure in CIF format:
```
data_SrAgAs2
_chemical_formula_sum 'Sr4 Ag4 As8'
_cell_length_a 7.195
_cell_length_b 7.195
_cell_length_c 7.195
_cell_angle_alpha 90.00
_cell_angle_beta 90.00
_cell_angle_gamma 90.00
_symmetry_space_group_name_H-M 'F m -3 m'
_symmetry_Int_Tables_number 225
_symmetry_space_group_name_Hall '-F 4 2 3'
loop_
_atom_site_label
_atom_site_type_symbol
_atom_site_fract_x
_atom_site_fract_y
_atom_site_fract_z
_atom_site_occupancy
Sr1 Sr 0.000 0.000 0.000 1
Ag1 Ag 0.000 0.000 0.500 1
As1 As 0.250 0.250 0.250 1
```

Values from the calculation:
ΔH_f (0 K)	-0.209	eV/atom
electronic total energy	-3.67	eV per atom



[8]
## SrAgAs (GGA-PBE)

Data for an optimized crystal structure of SrAgAs.

The structure in CIF format:
```
data_SrAgAs
_chemical_formula_sum 'Sr2 Ag2 As2'
_cell_length_a 5.089
_cell_length_b 6.384
_cell_length_c 5.096
_cell_angle_alpha 90.00
_cell_angle_beta 105.04
_cell_angle_gamma 90.00
_symmetry_space_group_name_H-M 'P 1 21/m 1'
_symmetry_Int_Tables_number 11
_symmetry_space_group_name_Hall '-P 2yb'
loop_
_atom_site_label
_atom_site_type_symbol
_atom_site_fract_x
_atom_site_fract_y
_atom_site_fract_z
_atom_site_occupancy
Sr1 Sr 0.150 0.250 0.351 1
Ag1 Ag 0.500 0.000 0.000 1
As1 As 0.248 0.750 0.250 1
```

Values from the calculation:
ΔH_f (0 K)	-0.675	eV/atom
electronic total energy	-3.74	eV per atom



[9]
## Sr2Ag2As (GGA-PBE)

Data for an optimized crystal structure of Sr2Ag2As.

The structure in CIF format:
```
data_Sr2Ag2As
_chemical_formula_sum 'Sr4 Ag4 As2'
_cell_length_a 6.162
_cell_length_b 6.162
_cell_length_c 7.959
_cell_angle_alpha 90.00
_cell_angle_beta 90.00
_cell_angle_gamma 90.00
_symmetry_space_group_name_H-M 'I 4/m m m'
_symmetry_Int_Tables_number 139
_symmetry_space_group_name_Hall '-I 4 2'
loop_
_atom_site_label
_atom_site_type_symbol
_atom_site_fract_x
_atom_site_fract_y
_atom_site_fract_z
_atom_site_occupancy
Sr1 Sr 0.000 0.500 0.250 1
Ag1 Ag 0.000 0.000 0.164 1
As1 As 0.000 0.000 0.500 1
```

Values from the calculation:
ΔH_f (0 K)	-0.287	eV/atom
electronic total energy	-3.03	eV per atom



[10]
## SrAg2As (GGA-PBE)

Data for an optimized crystal structure of SrAg2As.

The structure in CIF format:
```
data_SrAg2As
_chemical_formula_sum 'Sr1 Ag2 As1'
_cell_length_a 3.352
_cell_length_b 3.973
_cell_length_c 6.987
_cell_angle_alpha 90.00
_cell_angle_beta 90.00
_cell_angle_gamma 90.00
_symmetry_space_group_name_H-M 'P m m 2'
_symmetry_Int_Tables_number 25
_symmetry_space_group_name_Hall 'P 2 -2'
loop_
_atom_site_label
_atom_site_type_symbol
_atom_site_fract_x
_atom_site_fract_y
_atom_site_fract_z
_atom_site_occupancy
Sr1 Sr 0.000 0.000 0.000 1
Ag1 Ag 0.000 0.000 0.512 1
Ag2 Ag 0.500 0.500 0.321 1
As1 As 0.500 0.500 0.721 1
```

Values from the calculation:
ΔH_f (0 K)	-0.169	eV/atom
electronic total energy	-3.18	eV per atom



[11]
## SrAg2As (GGA-PBE)

Data for an optimized crystal structure of SrAg2As.

The structure in CIF format:
```
data_SrAg2As
_chemical_formula_sum 'Sr2 Ag4 As2'
_cell_length_a 10.633
_cell_length_b 4.201
_cell_length_c 4.659
_cell_angle_alpha 90.00
_cell_angle_beta 115.64
_cell_angle_gamma 90.00
_symmetry_space_group_name_H-M 'C 1 2/m 1'
_symmetry_Int_Tables_number 12
_symmetry_space_group_name_Hall '-C 2y'
loop_
_atom_site_label
_atom_site_type_symbol
_atom_site_fract_x
_atom_site_fract_y
_atom_site_fract_z
_atom_site_occupancy
Sr1 Sr 0.000 0.000 0.000 1
Ag1 Ag 0.233 0.000 0.729 1
As1 As 0.000 0.500 0.500 1
```

Values from the calculation:
ΔH_f (0 K)	-0.248	eV/atom
electronic total energy	-3.26	eV per atom



[12]
## SrAgAs (GGA-PBE)

Data for an optimized crystal structure of SrAgAs.

The structure in CIF format:
```
data_SrAgAs
_chemical_formula_sum 'Sr2 Ag2 As2'
_cell_length_a 5.2542
_cell_length_b 5.2542
_cell_length_c 6.2479
_cell_angle_alpha 90.00
_cell_angle_beta 90.00
_cell_angle_gamma 120.00
_symmetry_space_group_name_H-M 'P 63/m m c'
_symmetry_Int_Tables_number 194
_symmetry_space_group_name_Hall '-P 6c 2c'
loop_
_atom_site_label
_atom_site_type_symbol
_atom_site_fract_x
_atom_site_fract_y
_atom_site_fract_z
_atom_site_occupancy
Sr1 Sr 0.3333 0.6667 0.2500 1
Ag1 Ag 0.0000 0.0000 0.0000 1
As1 As 0.3333 0.6667 0.7500 1
```

Values from the calculation:
ΔH_f (0 K)	-0.491	eV/atom
electronic total energy	-3.55	eV per atom